(1)
{
  "formula": "Mg5Tl4Bi",
  "functional": "PBE",
  "state": "optimized geometry",
  "lattice": [[-2.6523, -1.1082, -2.3799], [2.4839, -2.1547, -1.7647], [-4.1404, -13.8244, 11.0519]],
  "species": ["Mg", "Bi", "Mg", "Mg", "Tl", "Tl", "Tl", "Mg", "Mg", "Tl"],
  "frac_coords": [[0.5000, 0.5000, 0.6994], [0.0000, 0.0000, 0.0000], [0.5000, 0.5000, 0.1046], [0.5000, 0.5000, 0.3006], [0.0000, 0.0000, 0.7983], [0.0000, 0.0000, 0.2017], [0.0000, 0.0000, 0.5994], [0.5000, 0.5000, 0.8954], [0.5000, 0.5000, 0.5000], [0.0000, 0.0000, 0.4006]],
  "energy_ev_per_cell": -21.747,
  "e_form_mev_per_atom": -43,
  "spacegroup": "P4/mmm"
}

***

(2)
{
  "formula": "Mg6Tl5Bi",
  "functional": "PBE",
  "state": "optimized geometry",
  "lattice": [[-3.7312, -3.1810, -1.7160], [2.6349, 0.5875, -6.8242], [5.2741, -5.0101, 5.5533]],
  "species": ["Mg", "Tl", "Bi", "Tl", "Mg", "Mg", "Tl", "Mg", "Mg", "Tl", "Tl", "Mg"],
  "frac_coords": [[0.8304, 0.5786, 0.6629], [0.3309, 0.3332, 0.6662], [0.0000, 0.0000, 0.0000], [0.6691, 0.6668, 0.3338], [0.8298, 0.0831, 0.6617], [0.4999, 0.7412, 0.0002], [0.6668, 0.1672, 0.3339], [0.1702, 0.9169, 0.3383], [0.1696, 0.4214, 0.3371], [0.3332, 0.8328, 0.6661], [0.0000, 0.5000, 0.0000], [0.5001, 0.2588, 0.9998]],
  "energy_ev_per_cell": -25.906,
  "e_form_mev_per_atom": -52,
  "spacegroup": "P-1"
}

***

(3)
{
  "formula": "Mg9TlBi2",
  "functional": "PBE",
  "state": "optimized geometry",
  "lattice": [[4.5498, 0.0000, 0.0000], [0.0000, 4.5498, 0.0000], [0.0000, 0.0000, 13.9753]],
  "species": ["Mg", "Mg", "Bi", "Mg", "Mg", "Mg", "Bi", "Mg", "Mg", "Mg", "Tl", "Mg"],
  "frac_coords": [[0.0000, 0.5000, 0.1590], [0.0000, 0.5000, 0.8410], [0.0000, 0.0000, 0.6684], [0.5000, 0.5000, 0.3297], [0.5000, 0.0000, 0.1590], [0.5000, 0.0000, 0.8410], [0.0000, 0.0000, 0.3316], [0.0000, 0.5000, 0.5000], [0.5000, 0.5000, 0.6703], [0.5000, 0.0000, 0.5000], [0.0000, 0.0000, 0.0000], [0.5000, 0.5000, 0.0000]],
  "energy_ev_per_cell": -25.407,
  "e_form_mev_per_atom": -77,
  "spacegroup": "P4/mmm"
}

***

(4)
{
  "formula": "Mg3TlBi",
  "functional": "PBE",
  "state": "optimized geometry",
  "lattice": [[-0.3209, -4.3351, 5.8327], [7.5634, -2.4898, -1.4342], [2.9805, 4.3567, 8.1548]],
  "species": ["Mg", "Tl", "Bi", "Tl", "Mg", "Mg", "Tl", "Mg", "Mg", "Mg", "Tl", "Mg", "Bi", "Mg", "Mg", "Mg", "Mg", "Bi", "Mg", "Bi"],
  "frac_coords": [[0.0521, 0.7243, 0.8785], [0.0448, 0.2995, 0.4185], [0.3259, 0.4314, 0.8887], [0.9552, 0.7005, 0.5815], [0.2328, 0.9578, 0.4005], [0.2781, 0.0905, 0.7821], [0.4552, 0.7995, 0.5815], [0.7782, 0.4095, 0.7821], [0.5521, 0.7757, 0.8785], [0.4479, 0.2243, 0.1215], [0.5448, 0.2005, 0.4185], [0.9479, 0.2757, 0.1215], [0.8259, 0.0686, 0.8887], [0.2218, 0.5905, 0.2179], [0.7328, 0.5421, 0.4005], [0.2672, 0.4579, 0.5995], [0.7672, 0.0422, 0.5995], [0.1741, 0.9314, 0.1113], [0.7219, 0.9095, 0.2179], [0.6741, 0.5686, 0.1113]],
  "energy_ev_per_cell": -45.627,
  "e_form_mev_per_atom": -75,
  "spacegroup": "P2_1/c"
}

***

(5)
{
  "formula": "MgTlBi",
  "functional": "PBE",
  "state": "optimized geometry",
  "lattice": [[-2.1650, -1.9757, -1.9630], [2.0688, 0.5238, -2.8089], [3.6538, -4.8337, 4.0048]],
  "species": ["Mg", "Tl", "Bi"],
  "frac_coords": [[0.2845, 0.2845, 0.5691], [0.6321, 0.6321, 0.2642], [0.9334, 0.9334, 0.8668]],
  "energy_ev_per_cell": -7.953,
  "e_form_mev_per_atom": -37,
  "spacegroup": "I4mm"
}

***

(6)
{
  "formula": "Mg8Tl3Bi",
  "functional": "PBE",
  "state": "optimized geometry",
  "lattice": [[-6.5329, 1.9091, 5.0330], [8.3928, 0.1511, 1.2168], [5.6782, 6.3242, -0.0636]],
  "species": ["Mg", "Mg", "Mg", "Mg", "Mg", "Mg", "Tl", "Mg", "Tl", "Mg", "Tl", "Bi"],
  "frac_coords": [[0.3842, 0.5374, 0.5796], [0.6450, 0.5293, 0.3419], [0.6164, 0.9989, 0.8487], [0.1172, 0.4731, 0.8693], [0.2175, 0.0018, 0.6705], [0.8330, 0.0001, 0.5909], [0.4513, 0.0012, 0.4645], [0.8474, 0.4617, 0.1173], [0.7582, 0.5195, 0.7128], [0.3860, 0.9995, 0.1019], [0.2387, 0.4788, 0.2338], [0.0054, 0.9988, 0.9689]],
  "energy_ev_per_cell": -23.655,
  "e_form_mev_per_atom": 7,
  "spacegroup": "P1"
}

***

(7)
{
  "formula": "MgTlBi",
  "functional": "PBE",
  "state": "optimized geometry",
  "lattice": [[-2.9081, 0.1155, -1.9150], [-2.1972, -3.8373, 3.1052], [-0.6389, 5.2093, 1.2844]],
  "species": ["Tl", "Bi", "Mg"],
  "frac_coords": [[0.0024, 0.0000, 0.0000], [0.5106, 0.6667, 0.3333], [0.4870, 0.3333, 0.6667]],
  "energy_ev_per_cell": -7.934,
  "e_form_mev_per_atom": -31,
  "spacegroup": "P3m1"
}

***

(8)
{
  "formula": "Mg12Tl3Bi",
  "functional": "PBE",
  "state": "optimized geometry",
  "lattice": [[4.5019, 0.0000, 0.0000], [0.0000, 4.5019, 0.0000], [0.0000, 0.0000, 18.5817]],
  "species": ["Tl", "Mg", "Mg", "Mg", "Mg", "Mg", "Bi", "Mg", "Mg", "Mg", "Tl", "Mg", "Mg", "Mg", "Tl", "Mg"],
  "frac_coords": [[0.0000, 0.0000, 0.5000], [0.5000, 0.5000, 0.2534], [0.5000, 0.5000, 0.7466], [0.0000, 0.5000, 0.1303], [0.5000, 0.0000, 0.6239], [0.5000, 0.0000, 0.3761], [0.0000, 0.0000, 0.0000], [0.5000, 0.5000, 0.0000], [0.5000, 0.0000, 0.8697], [0.0000, 0.5000, 0.6239], [0.0000, 0.0000, 0.2529], [0.5000, 0.5000, 0.5000], [0.0000, 0.5000, 0.3761], [0.0000, 0.5000, 0.8697], [0.0000, 0.0000, 0.7471], [0.5000, 0.0000, 0.1303]],
  "energy_ev_per_cell": -31.018,
  "e_form_mev_per_atom": -56,
  "spacegroup": "P4/mmm"
}

***

(9)
{
  "formula": "Mg14TlBi",
  "functional": "PBE",
  "state": "optimized geometry",
  "lattice": [[6.4362, -0.0137, 0.0000], [0.0136, 6.4362, 0.0000], [0.0000, 0.0000, 9.1252]],
  "species": ["Mg", "Mg", "Mg", "Tl", "Mg", "Mg", "Mg", "Mg", "Mg", "Bi", "Mg", "Mg", "Mg", "Mg", "Mg", "Mg"],
  "frac_coords": [[0.8750, 0.8750, 0.0000], [0.8750, 0.3750, 0.0000], [0.3750, 0.8750, 0.0000], [0.3750, 0.3750, 0.5000], [0.8750, 0.3750, 0.5000], [0.1271, 0.6230, 0.7574], [0.1271, 0.1271, 0.7574], [0.3750, 0.8750, 0.5000], [0.6230, 0.1271, 0.2426], [0.8750, 0.8750, 0.5000], [0.6230, 0.1271, 0.7574], [0.3750, 0.3750, 0.0000], [0.1271, 0.1271, 0.2426], [0.6229, 0.6229, 0.2426], [0.1271, 0.6230, 0.2426], [0.6229, 0.6229, 0.7574]],
  "energy_ev_per_cell": -28.994,
  "e_form_mev_per_atom": -26,
  "spacegroup": "P4/mmm"
}

***

(10)
{
  "formula": "MgTl2Bi2",
  "functional": "PBE",
  "state": "optimized geometry",
  "lattice": [[5.6769, 0.0758, 0.6655], [3.3438, 4.5754, -0.5624], [-0.9392, -0.1988, 12.1976]],
  "species": ["Bi", "Bi", "Bi", "Tl", "Bi", "Tl", "Tl", "Mg", "Tl", "Mg"],
  "frac_coords": [[0.5871, 0.9413, 0.8616], [0.4129, 0.0587, 0.1384], [0.9663, 0.8509, 0.3862], [0.1304, 0.6941, 0.0592], [0.0337, 0.1491, 0.6138], [0.6882, 0.4443, 0.2532], [0.3118, 0.5557, 0.7468], [0.7026, 0.8024, 0.5950], [0.8696, 0.3059, 0.9408], [0.2974, 0.1976, 0.4050]],
  "energy_ev_per_cell": -28.517,
  "e_form_mev_per_atom": -34,
  "spacegroup": "P-1"
}

***

(11)
{
  "formula": "Mg4Tl3Bi",
  "functional": "PBE",
  "state": "optimized geometry",
  "lattice": [[-0.5247, 5.3314, 0.1971], [-2.7124, -0.0267, -6.4991], [-9.9733, -1.1357, 4.1669]],
  "species": ["Bi", "Tl", "Tl", "Bi", "Tl", "Mg", "Mg", "Mg", "Mg", "Tl", "Mg", "Mg", "Tl", "Mg", "Tl", "Mg"],
  "frac_coords": [[0.0000, 0.5000, 0.5000], [0.0000, 0.0000, 0.0000], [0.4928, 0.0000, 0.2500], [0.0000, 0.5000, 0.0000], [0.4920, 0.5000, 0.2500], [0.5000, 0.7561, 0.5000], [0.0085, 0.7559, 0.7500], [0.9915, 0.7559, 0.2500], [0.9915, 0.2441, 0.2500], [0.0000, 0.0000, 0.5000], [0.5000, 0.7561, 0.0000], [0.0085, 0.2441, 0.7500], [0.5080, 0.5000, 0.7500], [0.5000, 0.2439, 0.5000], [0.5072, 0.0000, 0.7500], [0.5000, 0.2439, 0.0000]],
  "energy_ev_per_cell": -35.771,
  "e_form_mev_per_atom": -66,
  "spacegroup": "Pmma"
}

***

(12)
{
  "formula": "Mg12Tl6Bi",
  "functional": "PBE",
  "state": "optimized geometry",
  "lattice": [[8.0848, -0.1271, -0.1523], [-1.3514, 7.9721, -0.1523], [-1.3514, -1.5744, 7.8165]],
  "species": ["Mg", "Tl", "Mg", "Mg", "Bi", "Mg", "Tl", "Mg", "Mg", "Mg", "Mg", "Tl", "Mg", "Tl", "Mg", "Tl", "Mg", "Tl", "Mg"],
  "frac_coords": [[0.5966, 0.1783, 0.5948], [0.1710, 0.4393, 0.1747], [0.2579, 0.7407, 0.0011], [0.9989, 0.7421, 0.2593], [0.0000, 0.0000, 0.0000], [0.0011, 0.2579, 0.7407], [0.5607, 0.8253, 0.8290], [0.7407, 0.0011, 0.2579], [0.5948, 0.5966, 0.1783], [0.2593, 0.9989, 0.7421], [0.7421, 0.2593, 0.9989], [0.8253, 0.8290, 0.5607], [0.1783, 0.5948, 0.5966], [0.8290, 0.5607, 0.8253], [0.4052, 0.4034, 0.8217], [0.4393, 0.1747, 0.1710], [0.4034, 0.8217, 0.4052], [0.1747, 0.1710, 0.4393], [0.8217, 0.4052, 0.4034]],
  "energy_ev_per_cell": -36.449,
  "e_form_mev_per_atom": 40,
  "spacegroup": "R-3"
}